# 1
## Ho2TcC2 (PBE)

Data for an optimized crystal structure of Ho2TcC2.

The structure in POSCAR format:
```
Ho2TcC2
1.0
5.0739 0.0000 0.0000
-2.5369 5.5420 -0.0874
0.0000 -3.0680 5.8850
Ho Tc C
4 2 4
direct
0.6784 0.3568 0.6212
0.3216 0.6432 0.3788
0.0303 0.0606 0.7746
0.9697 0.9394 0.2254
0.3623 0.7245 0.8712
0.6377 0.2755 0.1288
0.1799 0.3598 0.6088
0.8201 0.6402 0.3912
0.4926 0.9852 0.2243
0.5074 0.0148 0.7757
```

Results
The energy above the most stable polymorph in this dataset comes out at 0.061 eV per atom. The size of the total moment comes out at 0.000 μB per atom. As for the uncorrected energy: -0.2919 Ha/atom. The value obtained for the formation energy is -348 meV per atom.



# 2
## SrFeOs (PBE)

Data for an optimized crystal structure of SrFeOs.

The structure in POSCAR format:
```
SrFeOs
1.0
-1.2813 -2.3608 2.8818
3.6425 1.4932 0.1500
-1.7244 3.9578 2.4756
Fe Os Sr
1 1 1
direct
0.0000 0.0000 0.1667
0.3333 0.6667 0.1667
0.6667 0.3333 0.6666
```

Results
The energy above the most stable polymorph in this dataset comes out at 0.129 eV per atom. The size of the total moment comes out at 0.000 μB per atom. As for the uncorrected energy: -0.2467 Ha/atom. The value obtained for the formation energy is 412 meV per atom.



# 3
## ZnIr3F (PBE)

Data for an optimized crystal structure of ZnIr3F.

The structure in POSCAR format:
```
ZnIr3F
1.0
4.2564 0.0000 0.0000
0.0000 4.2564 0.0000
0.0000 0.0000 4.2564
Zn Ir F
1 3 1
direct
0.5000 0.5000 0.5000
0.0000 0.5000 0.0000
0.0000 0.0000 0.5000
0.5000 0.0000 0.0000
0.0000 0.0000 0.0000
```

Results
The calculation puts the formation energy without anion corrections at 28.434 kcal/mol of atoms. The energy above the most stable polymorph in this dataset comes out at 0.000 eV per atom. The size of the total moment comes out at 0.000 μB per atom. As for the uncorrected energy: -0.1732 Ha/atom.



# 4
## BaThHg2 (PBE)

Data for an optimized crystal structure of BaThHg2.

The structure in POSCAR format:
```
BaThHg2
1.0
3.9267 0.0000 0.0000
0.0000 3.9267 0.0000
0.0000 0.0000 8.3109
Hg Th Ba
2 1 1
direct
0.0000 0.0000 0.7835
0.0000 0.0000 0.2165
0.5000 0.5000 0.0000
0.5000 0.5000 0.5000
```

Results
The energy above the most stable polymorph in this dataset comes out at 0.000 eV per atom. The size of the total moment comes out at 0.000 μB per atom. As for the uncorrected energy: -0.1031 Ha/atom. The value obtained for the formation energy is -318 meV per atom.



# 5
## CuReMo3 (PBE)

Data for an optimized crystal structure of CuReMo3.

The structure in POSCAR format:
```
CuReMo3
1.0
4.4339 0.0000 0.0000
0.0000 4.4339 0.0000
0.0000 0.0000 4.4339
Re Mo Cu
1 3 1
direct
0.5000 0.5000 0.5000
0.0000 0.5000 0.0000
0.0000 0.0000 0.5000
0.5000 0.0000 0.0000
0.0000 0.0000 0.0000
```

Results
The energy above the most stable polymorph in this dataset comes out at 0.000 eV per atom. The size of the total moment comes out at 0.000 μB per atom. As for the uncorrected energy: -0.2947 Ha/atom. The value obtained for the formation energy is 1789 meV per atom.



# 6
## YHoLuAl (PBE)

Data for an optimized crystal structure of YHoLuAl.

The structure in POSCAR format:
```
YHoLuAl
1.0
5.3079 0.0000 0.0000
2.6539 4.5968 0.0000
2.6539 1.5323 4.3339
Y Lu Ho Al
1 1 1 1
direct
0.7500 0.7500 0.7500
0.0000 0.0000 0.0000
0.2500 0.2500 0.2500
0.5000 0.5000 0.5000
```

Results
The size of the total moment comes out at 0.000 μB per atom. As for the uncorrected energy: -0.1803 Ha/atom. The value obtained for the formation energy is -81 meV per atom.



# 7
## AgGeBiTe3 (PBE)

Data for an optimized crystal structure of AgGeBiTe3.

The structure in POSCAR format:
```
AgGeBiTe3
1.0
4.2289 0.0000 0.0000
0.0000 8.8513 0.6587
0.0000 -2.7573 9.3681
Ag Ge Bi Te
2 2 2 6
direct
0.2500 0.0727 0.5890
0.7500 0.9273 0.4110
0.2500 0.6821 0.1262
0.7500 0.3179 0.8738
0.7500 0.7923 0.7470
0.2500 0.2077 0.2530
0.2500 0.7362 0.4961
0.7500 0.8960 0.1176
0.7500 0.4301 0.1661
0.7500 0.2638 0.5039
0.2500 0.5699 0.8339
0.2500 0.1040 0.8824
```

Results
The calculation puts the formation energy without anion corrections at -1.693 kcal/mol of atoms. The energy above the most stable polymorph in this dataset comes out at 0.023 eV per atom. The size of the total moment comes out at 0.000 μB per atom. As for the uncorrected energy: -0.1299 Ha/atom.



# 8
## KFe3 (PBE)

Data for an optimized crystal structure of KFe3.

The structure in POSCAR format:
```
KFe3
1.0
-4.7775 -3.2858 0.4557
0.6876 -5.5576 1.5711
0.1852 5.7337 0.9584
Fe K
3 1
direct
0.7976 0.7976 0.0000
0.2024 0.2024 0.0000
0.0000 0.5000 0.5000
0.5000 0.0000 0.5000
```

Results
The size of the total moment comes out at 2.060 μB per atom. As for the uncorrected energy: -0.2059 Ha/atom. The value obtained for the formation energy is 1018 meV per atom.



# 9
## CaNd4Gd (PBE)

Data for an optimized crystal structure of CaNd4Gd.

The structure in POSCAR format:
```
CaNd4Gd
1.0
-2.1478 2.9566 5.7606
-6.6795 0.4935 1.2957
-2.8059 -3.7832 4.9349
Ca Gd Nd
1 1 4
direct
0.0000 0.0000 0.0000
0.2500 0.2500 0.2500
0.6239 0.6239 0.1283
0.6239 0.1283 0.6239
0.6239 0.6239 0.6239
0.1283 0.6239 0.6239
```

Results
The size of the total moment comes out at 1.200 μB per atom. As for the uncorrected energy: -0.2079 Ha/atom. The value obtained for the formation energy is 201 meV per atom.



# 10
## BaCoNi2 (PBE)

Data for an optimized crystal structure of BaCoNi2.

The structure in POSCAR format:
```
BaCoNi2
1.0
3.1528 0.0225 0.0000
-0.0217 3.1528 0.0000
0.0000 0.0000 7.1541
Ba Co Ni
1 1 2
direct
0.0000 0.0000 0.4947
0.5000 0.5000 0.8451
0.0000 0.0000 0.9920
0.5000 0.5000 0.1681
```

Results
The size of the total moment comes out at 0.674 μB per atom. As for the uncorrected energy: -0.1698 Ha/atom. The value obtained for the formation energy is 527 meV per atom.



# 11
## HCl (PBE)

Data for an optimized crystal structure of HCl.

The structure in POSCAR format:
```
HCl
1.0
-2.2741 -3.5924 -0.1198
3.8100 -1.2355 -1.4315
1.4858 -1.1042 4.9075
H Cl
2 2
direct
0.0566 0.0566 0.6778
0.9434 0.9434 0.1778
0.2230 0.2230 0.4922
0.7770 0.7770 0.9922
```

Results
The size of the total moment comes out at 0.000 μB per atom. As for the uncorrected energy: -0.1149 Ha/atom.



# 12
## TmMgGeRh (PBE)

Data for an optimized crystal structure of TmMgGeRh.

The structure in POSCAR format:
```
TmMgGeRh
1.0
4.7143 0.0000 0.0000
2.3572 4.0827 0.0000
2.3572 1.3609 3.8492
Ge Tm Rh Mg
1 1 1 1
direct
0.2500 0.2500 0.2500
0.5000 0.5000 0.5000
0.7500 0.7500 0.7500
0.0000 0.0000 0.0000
```

Results
The size of the total moment comes out at 0.000 μB per atom. As for the uncorrected energy: -0.1867 Ha/atom. The value obtained for the formation energy is -571 meV per atom.